DFT (GGA-PBE) results for PmUB2O8 after structural relaxation.

Cell lengths 4.678, 4.678, 11.204 Å; angles 90.00, 90.00, 90.00 degrees
Space group I-4 (No. 82)
One atom of each set of equivalent atoms:
Pm: 0.000 0.000 0.000 (multiplicity 2)
U: 0.000 0.500 0.750 (multiplicity 2)
B: 0.000 0.000 0.500 (multiplicity 2)
B: 0.000 0.500 0.250 (multiplicity 2)
O: 0.111 0.240 0.575 (multiplicity 8)
O: 0.143 0.745 0.188 (multiplicity 8)

Results
- Formation energy from raw total energies: -2926 kJ/mol of formula units
- VASP energy: -99.38 eV per formula unit